Entry one
## MgMnAu6 (PBE)

Data for a geometry-optimized MgMnAu6 structure.

POSCAR file:
```
MgMnAu6
1.0
4.007 -2.760 0.000
4.007 2.760 0.000
-2.257 0.000 7.130
Mg Mn Au
1 1 6
Direct
0.000 0.000 0.000
0.500 0.500 0.500
0.056 0.547 0.695
0.366 0.366 0.077
0.453 0.944 0.305
0.547 0.056 0.695
0.634 0.634 0.923
0.944 0.453 0.305
```

Calculated values
ρ: 13.28 g/cm3
Density of states at the Fermi level: 0.416 states/eV/atom
V: 157.7 Å³/cell
Symmetry: C2/m, No. 12

Entry two
## MgMnAu6 (PBE)

Data for a geometry-optimized MgMnAu6 structure.

POSCAR file:
```
MgMnAu6
1.0
4.632 -2.039 0.000
4.632 2.039 0.000
-3.710 0.000 7.435
Mg Mn Au
1 1 6
Direct
0.000 0.000 0.000
0.000 0.000 0.500
0.250 0.250 0.873
0.252 0.252 0.379
0.499 0.499 0.251
0.501 0.501 0.749
0.748 0.748 0.621
0.750 0.750 0.127
```

Calculated values
ρ: 14.91 g/cm3
Density of states at the Fermi level: 0.383 states/eV/atom
V: 140.4 Å³/cell
Symmetry: C2/m, No. 12

Which one is most stable, and which one is least stable? entry two is the most stable of them, while entry one is the least stable.

Entry one
## Mg2MoAu (PBE)

Data for a geometry-optimized Mg2MoAu structure.

POSCAR file:
```
Mg2MoAu
1.0
2.866 0.000 0.000
0.000 2.866 0.000
0.000 0.000 8.878
Mg Mo Au
2 1 1
Direct
0.000 0.000 0.000
0.500 0.500 0.293
0.000 0.000 0.535
0.500 0.500 0.770
```

Calculated values
ρ: 7.78 g/cm3
Density of states at the Fermi level: 0.567 states/eV/atom
V: 72.9 Å³/cell
Symmetry: P4mm, No. 99

Entry two
## Mg2MoAu (PBE)

Data for a geometry-optimized Mg2MoAu structure.

POSCAR file:
```
Mg2MoAu
1.0
-3.677 3.677 2.829
3.677 -3.677 2.829
3.677 3.677 -2.829
Mg Mo Au
4 2 2
Direct
0.107 0.625 0.982
0.375 0.357 0.482
0.643 0.125 0.018
0.875 0.893 0.518
0.250 0.750 0.500
0.500 0.500 0.000
0.000 0.000 0.000
0.750 0.250 0.500
```

Calculated values
ρ: 7.41 g/cm3
Density of states at the Fermi level: 1.005 states/eV/atom
V: 153.0 Å³/cell
Symmetry: I-42d, No. 122

Entry three
## Mg2MoAu (PBE)

Data for a geometry-optimized Mg2MoAu structure.

POSCAR file:
```
Mg2MoAu
1.0
2.773 0.000 0.000
0.000 4.472 0.000
-1.013 0.000 5.671
Mg Mo Au
2 1 1
Direct
0.195 0.000 0.245
0.805 0.000 0.755
0.500 0.500 0.000
0.000 0.500 0.500
```

Calculated values
ρ: 8.07 g/cm3
Density of states at the Fermi level: 0.621 states/eV/atom
V: 70.3 Å³/cell
Symmetry: P2/m, No. 10

Which one is most stable, and which one is least stable? entry one is the most stable of them, while entry two is the least stable.

Entry one
## Mg2MoAu (PBE)

Data for a geometry-optimized Mg2MoAu structure.

POSCAR file:
```
Mg2MoAu
1.0
-1.470 2.417 5.075
1.470 -2.417 5.075
1.470 2.417 -5.075
Mg Mo Au
2 1 1
Direct
0.000 0.000 0.000
0.723 0.223 0.500
0.254 0.754 0.500
0.491 0.491 0.000
```

Calculated values
ρ: 7.86 g/cm3
Density of states at the Fermi level: 0.813 states/eV/atom
V: 72.1 Å³/cell
Symmetry: Imm2, No. 44

Entry two
## Mg2MoAu (PBE)

Data for a geometry-optimized Mg2MoAu structure.

POSCAR file:
```
Mg2MoAu
1.0
2.986 -4.319 0.000
2.986 4.319 0.000
-0.010 0.000 2.743
Mg Mo Au
2 1 1
Direct
0.000 0.500 0.000
0.500 0.000 0.000
0.000 0.000 0.500
0.500 0.500 0.500
```

Calculated values
ρ: 8.01 g/cm3
Density of states at the Fermi level: 0.378 states/eV/atom
V: 70.8 Å³/cell
Symmetry: C2/m, No. 12

Entry three
## Mg2MoAu (PBE)

Data for a geometry-optimized Mg2MoAu structure.

POSCAR file:
```
Mg2MoAu
1.0
2.900 0.000 0.000
0.000 4.168 0.000
0.000 0.000 5.864
Mg Mo Au
2 1 1
Direct
0.000 0.000 0.000
0.500 0.500 0.272
0.000 0.000 0.511
0.500 0.500 0.759
```

Calculated values
ρ: 8.00 g/cm3
Density of states at the Fermi level: 0.627 states/eV/atom
V: 70.9 Å³/cell
Symmetry: Pmm2, No. 25

Entry four
## Mg2MoAu (PBE)

Data for a geometry-optimized Mg2MoAu structure.

POSCAR file:
```
Mg2MoAu
1.0
0.000 3.277 3.277
3.277 0.000 3.277
3.277 3.277 0.000
Mg Mo Au
2 1 1
Direct
0.250 0.250 0.250
0.750 0.750 0.750
0.000 0.000 0.000
0.500 0.500 0.500
```

Calculated values
ρ: 8.06 g/cm3
Density of states at the Fermi level: 0.515 states/eV/atom
V: 70.4 Å³/cell
Symmetry: Fm-3m, No. 225

Which one is most stable, and which one is least stable? entry two is the most stable of them, while entry four is the least stable.

Entry one
## Mg3MoAu (PBE)

Data for a geometry-optimized Mg3MoAu structure.

POSCAR file:
```
Mg3MoAu
1.0
4.999 0.000 0.000
0.000 4.999 0.000
0.000 0.000 4.999
Mg Mo Au
3 1 1
Direct
0.000 0.000 0.500
0.000 0.500 0.000
0.500 0.000 0.000
0.500 0.500 0.500
0.000 0.000 0.000
```

Calculated values
ρ: 4.86 g/cm3
Density of states at the Fermi level: 0.705 states/eV/atom
V: 124.9 Å³/cell
Symmetry: Pm-3m, No. 221

Entry two
## Mg3MoAu (PBE)

Data for a geometry-optimized Mg3MoAu structure.

POSCAR file:
```
Mg3MoAu
1.0
5.218 0.000 0.000
0.000 5.218 0.000
0.000 0.000 5.218
Mg Mo Au
3 1 1
Direct
0.000 0.000 0.500
0.000 0.500 0.000
0.500 0.000 0.000
0.000 0.000 0.000
0.500 0.500 0.500
```

Calculated values
ρ: 4.27 g/cm3
Density of states at the Fermi level: 0.941 states/eV/atom
V: 142.1 Å³/cell
Symmetry: Pm-3m, No. 221

Which one is most stable, and which one is least stable? entry one is the most stable of them, while entry two is the least stable.

Entry one
## MgMoAu (PBE)

Data for a geometry-optimized MgMoAu structure.

POSCAR file:
```
MgMoAu
1.0
2.886 0.000 0.000
-1.443 2.500 0.000
0.000 0.000 7.182
Mg Mo Au
1 1 1
Direct
0.000 0.000 0.000
0.333 0.667 0.338
0.667 0.333 0.671
```

Calculated values
ρ: 10.16 g/cm3
Density of states at the Fermi level: 0.991 states/eV/atom
V: 51.8 Å³/cell
Symmetry: P3m1, No. 156

Entry two
## MgMoAu (PBE)

Data for a geometry-optimized MgMoAu structure.

POSCAR file:
```
MgMoAu
1.0
0.000 3.119 3.119
3.119 0.000 3.119
3.119 3.119 0.000
Mg Mo Au
1 1 1
Direct
0.000 0.000 0.000
0.500 0.500 0.500
0.750 0.750 0.750
```

Calculated values
ρ: 8.68 g/cm3
Density of states at the Fermi level: 1.556 states/eV/atom
V: 60.7 Å³/cell
Symmetry: F-43m, No. 216

Entry three
## MgMoAu (PBE)

Data for a geometry-optimized MgMoAu structure.

POSCAR file:
```
MgMoAu
1.0
-1.396 1.396 6.556
1.396 -1.396 6.556
1.396 1.396 -6.556
Mg Mo Au
1 1 1
Direct
0.000 0.000 0.000
0.330 0.330 0.000
0.665 0.665 0.000
```

Calculated values
ρ: 10.31 g/cm3
Density of states at the Fermi level: 0.747 states/eV/atom
V: 51.1 Å³/cell
Symmetry: I4mm, No. 107

Which one is most stable, and which one is least stable? entry three is the most stable of them, while entry two is the least stable.

Entry one
## MgMoAu3 (PBE)

Data for a geometry-optimized MgMoAu3 structure.

POSCAR file:
```
MgMoAu3
1.0
4.685 0.000 0.000
0.000 4.685 0.000
0.000 0.000 4.685
Mg Mo Au
1 1 3
Direct
0.000 0.000 0.000
0.500 0.500 0.500
0.000 0.000 0.500
0.000 0.500 0.000
0.500 0.000 0.000
```

Calculated values
ρ: 11.48 g/cm3
Density of states at the Fermi level: 0.796 states/eV/atom
V: 102.8 Å³/cell
Symmetry: Pm-3m, No. 221

Entry two
## MgMoAu3 (PBE)

Data for a geometry-optimized MgMoAu3 structure.

POSCAR file:
```
MgMoAu3
1.0
5.056 0.000 0.000
0.000 5.056 0.000
0.000 0.000 5.056
Mg Mo Au
1 1 3
Direct
0.000 0.000 0.000
0.500 0.500 0.500
0.000 0.500 0.500
0.500 0.000 0.500
0.500 0.500 0.000
```

Calculated values
ρ: 9.14 g/cm3
Density of states at the Fermi level: 0.905 states/eV/atom
V: 129.2 Å³/cell
Symmetry: Pm-3m, No. 221

Which one is most stable, and which one is least stable? entry two is the most stable of them, while entry one is the least stable.